The following is a PBE calculation of crystalline Nb2Co3Rh2 at its relaxed geometry, from the Alexandria database.

Results
VASP energy, eV per atom: -8.226
Calculated density, g/cm³: 9.78
Energy of formation, eV/atom: -0.204

Lattice parameters (Å, degrees): 4.7130 4.7130 6.0686 96.54 96.54 46.21
With the nearest neighbours (Å) after each atom.
Fractional positions:
Nb (0.0758, 0.0758, 0.2349)  6 Co 2.51-2.74, 3 Rh 2.70-2.71
Nb (0.9242, 0.9242, 0.7651)  6 Co 2.51-2.74, 3 Rh 2.70-2.71
Co (0.2125, 0.2125, 0.6239)  4 Nb 2.51-2.74, 5 Co 2.52-2.69, 2 Rh 2.66
Co (0.5000, 0.5000, 0.5000)  4 Nb 2.59, 2 Rh 2.63, 6 Co 2.65-2.69
Co (0.7875, 0.7875, 0.3761)  4 Nb 2.51-2.74, 5 Co 2.52-2.69, 2 Rh 2.66
Rh (0.3579, 0.3579, 0.0903)  3 Co 2.63-2.66, 5 Nb 2.70-2.82, 3 Rh 2.76-2.82
Rh (0.6421, 0.6421, 0.9097)  3 Co 2.63-2.66, 5 Nb 2.70-2.82, 3 Rh 2.76-2.82



The following is a PBE calculation of crystalline NiBrCl at its relaxed geometry, from the Alexandria database.

Results
VASP energy, eV per atom: -3.553
Calculated density, g/cm³: 4.00
ΔE to the lowest computed polymorph, meV per atom: 7.2
ΔE_f (raw), meV/atom: -453

Lattice parameters (Å, degrees): 3.5879 3.5879 6.4785 90.00 90.00 120.00
With the nearest neighbours (Å) after each atom.
Fractional positions:
Ni (0.0000, 0.0000, 0.0000)  3 Cl 2.43, 3 Br 2.52
Br (0.6667, 0.3333, 0.2220)  3 Ni 2.52
Cl (0.3333, 0.6667, 0.8043)  3 Ni 2.43



The following is a PBE calculation of crystalline Pm2YHoTm5 at its relaxed geometry, from the Alexandria database.

Results
VASP energy, eV per atom: -4.494
Calculated density, g/cm³: 8.11
Energy of formation, eV/atom: 0.273

Lattice parameters (Å, degrees): 9.8060 9.8060 9.8060 128.03 128.03 76.58
With the nearest neighbours (Å) after each atom.
Fractional positions:
Pm (0.1169, 0.6169, 0.7338)  1 Pm 2.84, 2 Tm 2.99
Pm (0.3831, 0.1169, 0.5000)  1 Pm 2.84, 2 Tm 2.99
Pm (0.6169, 0.8831, 0.5000)  1 Pm 2.84, 2 Tm 2.99
Pm (0.8831, 0.3831, 0.2662)  1 Pm 2.84, 2 Tm 2.99
Y (0.2500, 0.2500, 0.0000)  10 Tm 3.52-3.85
Y (0.7500, 0.7500, 0.0000)  10 Tm 3.52-3.85
Ho (0.2500, 0.7500, 0.5000)  4 Tm 3.09
Ho (0.7500, 0.2500, 0.5000)  4 Tm 3.09
Tm (0.0000, 0.0000, 0.0000)  4 Pm 3.44, 8 Tm 3.75, 2 Y 3.85
Tm (0.0724, 0.1495, 0.5000)  1 Pm 2.99, 1 Ho 3.09
Tm (0.1495, 0.6495, 0.0772)  1 Pm 2.99, 1 Ho 3.09
Tm (0.3505, 0.4276, 0.5000)  1 Pm 2.99, 1 Ho 3.09
Tm (0.4276, 0.9276, 0.0772)  1 Pm 2.99, 1 Ho 3.09
Tm (0.5000, 0.5000, 0.0000)  4 Pm 3.44, 8 Tm 3.75, 2 Y 3.85
Tm (0.5724, 0.0724, 0.9228)  1 Pm 2.99, 1 Ho 3.09
Tm (0.6495, 0.5724, 0.5000)  1 Pm 2.99, 1 Ho 3.09
Tm (0.8505, 0.3505, 0.9228)  1 Pm 2.99, 1 Ho 3.09
Tm (0.9276, 0.8505, 0.5000)  1 Pm 2.99, 1 Ho 3.09



The following is a PBE calculation of crystalline YEr5Pb6 at its relaxed geometry, from the Alexandria database.

Results
VASP energy, eV per atom: -4.706
Calculated density, g/cm³: 10.36
Energy of formation, eV/atom: -0.412

Lattice parameters (Å, degrees): 8.2059 8.2059 7.7091 95.07 95.07 136.44
With the nearest neighbours (Å) after each atom.
Fractional positions:
Y (0.0000, 0.0000, 0.0000)  6 Pb 3.21
Er (0.0000, 0.0000, 0.5000)  6 Pb 3.18-3.19
Er (0.3324, 0.6676, 0.0000)  6 Pb 3.18-3.20
Er (0.3348, 0.6652, 0.5000)  6 Pb 3.18-3.19
Er (0.6652, 0.3348, 0.5000)  6 Pb 3.18-3.19
Er (0.6676, 0.3324, 0.0000)  6 Pb 3.18-3.20
Pb (0.1670, 0.8321, 0.2521)  5 Er 3.18-3.20, 1 Y 3.21
Pb (0.1679, 0.8330, 0.7479)  5 Er 3.18-3.20, 1 Y 3.21
Pb (0.4964, 0.4964, 0.7515)  5 Er 3.18-3.19, 1 Y 3.21
Pb (0.5036, 0.5036, 0.2485)  5 Er 3.18-3.19, 1 Y 3.21
Pb (0.8321, 0.1670, 0.2521)  5 Er 3.18-3.20, 1 Y 3.21
Pb (0.8330, 0.1679, 0.7479)  5 Er 3.18-3.20, 1 Y 3.21



The following is a PBE calculation of crystalline Mg2CoPt9 at its relaxed geometry, from the Alexandria database.

Results
VASP energy, eV per atom: -5.815
Calculated density, g/cm³: 16.90
Energy of formation, eV/atom: -0.426

Lattice parameters (Å, degrees): 3.9344 3.9344 11.8248 90.00 90.00 90.00
With the nearest neighbours (Å) after each atom.
Fractional positions:
Mg (0.0000, 0.0000, 0.1678)  12 Pt 2.78-2.82
Mg (0.0000, 0.0000, 0.8322)  12 Pt 2.78-2.82
Co (0.0000, 0.0000, 0.5000)  12 Pt 2.74-2.78
Pt (0.0000, 0.5000, 0.0000)  8 Pt 2.78-2.80, 4 Mg 2.79
Pt (0.0000, 0.5000, 0.3388)  2 Co 2.74, 8 Pt 2.74-2.81, 2 Mg 2.82
Pt (0.0000, 0.5000, 0.6612)  8 Pt 2.74-2.81, 2 Co 2.74, 2 Mg 2.82
Pt (0.5000, 0.0000, 0.0000)  8 Pt 2.78-2.80, 4 Mg 2.79
Pt (0.5000, 0.0000, 0.3388)  2 Co 2.74, 8 Pt 2.74-2.81, 2 Mg 2.82
Pt (0.5000, 0.0000, 0.6612)  8 Pt 2.74-2.81, 2 Co 2.74, 2 Mg 2.82
Pt (0.5000, 0.5000, 0.1688)  4 Mg 2.78, 8 Pt 2.80-2.81
Pt (0.5000, 0.5000, 0.5000)  8 Pt 2.74, 4 Co 2.78
Pt (0.5000, 0.5000, 0.8312)  4 Mg 2.78, 8 Pt 2.80-2.81



The following is a PBE calculation of crystalline NdY6Tm2Th at its relaxed geometry, from the Alexandria database.

Results
VASP energy, eV per atom: -5.844
Calculated density, g/cm³: 6.33
Energy of formation, eV/atom: 0.148

Lattice parameters (Å, degrees): 8.8141 8.8141 9.4228 93.06 93.06 116.01
With the nearest neighbours (Å) after each atom.
Fractional positions:
Nd (0.0897, 0.9103, 0.7500)  6 Y 3.44-3.48, 2 Tm 3.53
Nd (0.9103, 0.0897, 0.2500)  6 Y 3.44-3.48, 2 Tm 3.53
Y (0.0194, 0.7929, 0.3891)  4 Y 3.25-3.56, 3 Tm 3.33-3.47, 2 Nd 3.44-3.45
Y (0.0696, 0.5139, 0.1826)  3 Y 3.25-3.63, 2 Tm 3.41-3.62, 1 Th 3.44, 1 Nd 3.48
Y (0.2071, 0.9806, 0.1109)  4 Y 3.25-3.56, 3 Tm 3.33-3.47, 2 Nd 3.44-3.45
Y (0.2658, 0.6130, 0.5587)  1 Tm 3.42, 7 Y 3.43-3.75, 2 Th 3.61-3.67
Y (0.3870, 0.7342, 0.9413)  1 Tm 3.42, 7 Y 3.43-3.75, 2 Th 3.61-3.67
Y (0.4861, 0.9304, 0.3174)  3 Y 3.25-3.63, 2 Tm 3.41-3.62, 1 Th 3.44, 1 Nd 3.48
Y (0.5139, 0.0696, 0.6826)  3 Y 3.25-3.63, 2 Tm 3.41-3.62, 1 Th 3.44, 1 Nd 3.48
Y (0.6130, 0.2658, 0.0587)  1 Tm 3.42, 7 Y 3.43-3.75, 2 Th 3.61-3.67
Y (0.7342, 0.3870, 0.4413)  1 Tm 3.42, 7 Y 3.43-3.75, 2 Th 3.61-3.67
Y (0.7929, 0.0194, 0.8891)  4 Y 3.25-3.56, 3 Tm 3.33-3.47, 2 Nd 3.44-3.45
Y (0.9304, 0.4861, 0.8174)  3 Y 3.25-3.63, 2 Tm 3.41-3.62, 1 Th 3.44, 1 Nd 3.48
Y (0.9806, 0.2071, 0.6109)  4 Y 3.25-3.56, 3 Tm 3.33-3.47, 2 Nd 3.44-3.45
Tm (0.2023, 0.3026, 0.9449)  6 Y 3.33-3.62, 2 Th 3.34-3.51, 1 Nd 3.53
Tm (0.3026, 0.2023, 0.4449)  6 Y 3.33-3.62, 2 Th 3.34-3.51, 1 Nd 3.53
Tm (0.6974, 0.7977, 0.5551)  6 Y 3.33-3.62, 2 Th 3.34-3.51, 1 Nd 3.53
Tm (0.7977, 0.6974, 0.0551)  6 Y 3.33-3.62, 2 Th 3.34-3.51, 1 Nd 3.53
Th (0.4658, 0.5342, 0.2500)  4 Tm 3.34-3.51, 6 Y 3.44-3.67
Th (0.5342, 0.4658, 0.7500)  4 Tm 3.34-3.51, 6 Y 3.44-3.67



The following is a PBE calculation of crystalline ZnNiIrRu at its relaxed geometry, from the Alexandria database.

Results
VASP energy, eV per atom: -6.135
Calculated density, g/cm³: 12.76
Energy of formation, eV/atom: 0.163

Lattice parameters (Å, degrees): 4.2512 4.2512 4.2512 60.00 60.00 60.00
With the nearest neighbours (Å) after each atom.
Fractional positions:
Zn (0.0000, 0.0000, 0.0000)  4 Ni 2.60, 4 Ir 2.60
Ni (0.2500, 0.2500, 0.2500)  4 Ru 2.60, 4 Zn 2.60
Ir (0.7500, 0.7500, 0.7500)  4 Ru 2.60, 4 Zn 2.60
Ru (0.5000, 0.5000, 0.5000)  4 Ni 2.60, 4 Ir 2.60



The following is a PBE calculation of crystalline NaLaWSe2 at its relaxed geometry, from the Alexandria database.

Results
VASP energy, eV per atom: -4.246
Calculated density, g/cm³: 4.18
ΔE_f (raw), meV/atom: 987

Lattice parameters (Å, degrees): 5.6371 5.6371 6.3018 90.00 90.00 90.00
With the nearest neighbours (Å) after each atom.
Fractional positions:
Na (0.0000, 0.0000, 0.0000)  2 La 3.15
La (0.0000, 0.0000, 0.5000)  4 Se 2.82, 2 Na 3.15
W (0.5000, 0.5000, 0.0000)  4 Na 3.99, 8 Se 4.23
Se (0.0000, 0.5000, 0.5000)  2 La 2.82
Se (0.5000, 0.0000, 0.5000)  2 La 2.82



calculated density of number 6 (NdY6Tm2Th)? 6.33 g/cm³



Among the records above, which one has the highest calculated density? Mg2CoPt9



Which formula does entry 6 have? NdY6Tm2Th



Look up the VASP energy of the sixth one. -5.844 eV per atom